UAlPb2O6: optimized geometry, PBE-GGA.

Structure (POSCAR):
```
UAlPb2O6
1.0
5.777 0.000 0.000
0.000 5.777 0.000
0.000 0.000 8.169
U Pb O Al
2 4 12 2
Cartesian
0.000 4.330 4.084 U
2.888 1.447 0.000 U
2.888 4.337 6.127 Pb
0.000 1.440 6.126 Pb
2.888 4.337 2.042 Pb
0.000 1.440 2.042 Pb
2.888 1.441 6.020 O
0.000 4.336 6.233 O
4.408 5.703 0.000 O
1.369 2.966 0.000 O
1.520 0.074 4.084 O
4.257 2.811 4.084 O
1.520 2.811 4.084 O
4.408 2.966 0.000 O
0.000 4.336 1.935 O
1.369 5.703 0.000 O
4.257 0.074 4.084 O
2.888 1.441 2.149 O
0.000 4.333 0.000 Al
2.888 1.443 4.084 Al
```

ΔE_f (raw) = -2.2936 eV per atom
Uncorrected energy = -150.264 eV per cell
Crystal system = orthorhombic